# PBE SmHoGa, optimized geometry
data_SmHoGa
_cell_length_a 3.499
_cell_length_b 3.499
_cell_length_c 13.180
_cell_angle_alpha 90.00
_cell_angle_beta 90.00
_cell_angle_gamma 90.00
_symmetry_space_group_name_H-M 'I 4 m m'
_symmetry_Int_Tables_number 107
_symmetry_space_group_name_Hall 'I 4 -2'
loop_
_atom_site_label
_atom_site_fract_x
_atom_site_fract_y
_atom_site_fract_z
Sm1 0.000 0.000 0.000
Ho1 0.000 0.000 0.710
Ga1 0.000 0.000 0.350
# DOS at the Fermi energy = 2.11 states/eV/f.u.
# Calculated density = 7.923 Mg/m³
# E_form = -0.360 eV/atom
# Energy above the lowest structure with this stoichiometry = 44 meV/atom